Below is PrGdAu2 after structural relaxation, with properties calculated at the PBE level.

Geometry as POSCAR:
```
PrGdAu2
1.0
4.7838 0.0000 0.0000
0.0000 7.3902 0.0000
0.0000 0.0000 5.7813
Pr Gd Au
2 2 4
Cartesian
0.0000 0.4797 0.0000
2.3919 6.9105 2.8906
0.0000 4.1751 1.2167
2.3919 3.2151 4.1074
0.0000 1.6537 2.9410
0.0000 5.1383 4.0738
2.3919 2.2519 1.1832
2.3919 5.7364 0.0503
```

## Properties
M_tot, μB/f.u.: 0.01
Crystal system: orthorhombic
DFT formation energy, meV per atom: -832